[1]
# Tm4CoSi3

Crystalline Tm4CoSi3 at its relaxed geometry (PBE, Alexandria).

Values from the calculation:
The space group is Pmm2 (25). As for the total energy: -46.68 eV per cell.

Unit cell a=4.159 b=3.778 c=10.431 alpha=90.00 beta=90.00 gamma=90.00
Fractional positions:
1 Tm 0.500 0.000 0.644
2 Tm 0.500 0.500 0.352
3 Tm 0.000 0.500 0.862
4 Tm 0.000 0.000 0.137
5 Si 0.500 0.000 0.931
6 Si 0.000 0.000 0.428
7 Si 0.000 0.500 0.577
8 Co 0.500 0.500 0.070

***

[2]
# NdEr2Pd

Crystalline NdEr2Pd at its relaxed geometry (PBE, Alexandria).

Values from the calculation:
The space group is Pnma (62). As for the total energy: -83.77 eV per cell. The calculation puts the formation energy at -0.464 eV/atom.

Unit cell a=6.521 b=7.094 c=9.669 alpha=90.00 beta=90.00 gamma=90.00
Fractional positions:
1 Nd 0.366 0.484 0.750
2 Nd 0.134 0.984 0.750
3 Nd 0.866 0.016 0.250
4 Nd 0.634 0.516 0.250
5 Er 0.328 0.178 0.061
6 Er 0.672 0.822 0.939
7 Er 0.828 0.322 0.561
8 Er 0.828 0.322 0.939
9 Er 0.328 0.178 0.439
10 Er 0.172 0.678 0.439
11 Er 0.172 0.678 0.061
12 Er 0.672 0.822 0.561
13 Pd 0.423 0.887 0.250
14 Pd 0.923 0.613 0.750
15 Pd 0.077 0.387 0.250
16 Pd 0.577 0.113 0.750

***

[3]
# CsPuSe2

Crystalline CsPuSe2 at its relaxed geometry (PBE, Alexandria).

Values from the calculation:
The space group is P4/mmm (123). As for the total energy: -27.25 eV per cell.

Unit cell a=3.722 b=3.722 c=8.471 alpha=90.00 beta=90.00 gamma=90.00
Fractional positions:
1 Se 0.000 0.000 0.807
2 Se 0.000 0.000 0.193
3 Cs 0.500 0.500 0.500
4 Pu 0.500 0.500 0.000